Crystalline PH3I6 at its relaxed geometry. Source: the Alexandria database, functional GGA-PBE.

Computed properties:
Spin magnetization, μB/f.u.: 0.00
Total DFT energy (no corrections), eV per atom: -2.336
N(E_F), states/eV/cell: 5.6

Cell lengths 6.142, 11.397, 11.397 Å; angles 108.52, 90.00, 90.00 degrees
Atoms (fractional coordinates):
P 0.093 0.190 0.810
P 0.593 0.810 0.190
H 0.399 0.799 0.493
H 0.899 0.493 0.799
H 0.696 0.420 0.580
H 0.196 0.580 0.420
H 0.899 0.201 0.507
H 0.399 0.507 0.201
I 0.196 0.724 0.566
I 0.696 0.566 0.724
I 0.147 0.427 0.877
I 0.647 0.877 0.427
I 0.079 0.017 0.983
I 0.634 0.192 0.808
I 0.134 0.808 0.192
I 0.579 0.983 0.017
I 0.147 0.123 0.573
I 0.647 0.573 0.123
I 0.196 0.434 0.276
I 0.696 0.276 0.434

=====

Crystalline Tl4AsSe at its relaxed geometry. Source: the Alexandria database, functional GGA-PBE.

Computed properties:
Formation energy from raw total energies, eV per atom: -0.10
Spin magnetization, μB/f.u.: 0.00
Total DFT energy (no corrections), eV per atom: -3.030
Polymorph energy (0 for the lowest one), eV/atom: 0.000
N(E_F), states/eV/cell: 7.3

Cell lengths 7.335, 7.370, 9.028 Å; angles 113.79, 113.66, 90.68 degrees
Atoms (fractional coordinates):
Tl 0.244 0.999 0.498
Tl 0.002 0.758 0.001
Tl 0.246 0.501 0.502
Tl 0.500 0.756 0.999
Tl 0.756 0.001 0.502
Tl 0.754 0.499 0.498
Tl 0.998 0.242 0.999
Tl 0.500 0.244 0.001
As 0.876 0.126 0.252
As 0.124 0.874 0.748
Se 0.374 0.624 0.247
Se 0.626 0.376 0.753

=====

Crystalline LaBeCuP2 at its relaxed geometry. Source: the Alexandria database, functional GGA-PBE.

Computed properties:
Spin magnetization, μB/f.u.: 0.00
Total DFT energy (no corrections), eV per atom: -5.462
Formation enthalpy at 0 K, eV per atom: -0.748
N(E_F), states/eV/cell: 1.8

Cell lengths 3.757, 3.757, 6.487 Å; angles 106.83, 106.83, 90.00 degrees
Atoms (fractional coordinates):
La 0.000 0.000 0.000
Be 0.750 0.250 0.500
Cu 0.250 0.750 0.500
P 0.635 0.635 0.271
P 0.365 0.365 0.729

=====

Crystalline Ac12La5Pm2 at its relaxed geometry. Source: the Alexandria database, functional GGA-PBE.

Computed properties:
Spin magnetization, μB/f.u.: 0.00
Total DFT energy (no corrections), eV per atom: -4.295
Polymorph energy (0 for the lowest one), eV/atom: 0.000
Formation enthalpy at 0 K, eV per atom: 0.097
N(E_F), states/eV/cell: 30.2

Cell lengths 6.742, 11.550, 11.550 Å; angles 66.27, 78.94, 78.94 degrees
Atoms (fractional coordinates):
Ac 0.005 0.890 0.890
Ac 0.205 0.544 0.063
Ac 0.205 0.063 0.544
Ac 0.629 0.646 0.151
Ac 0.629 0.151 0.646
Ac 0.272 0.442 0.442
Ac 0.728 0.558 0.558
Ac 0.371 0.354 0.849
Ac 0.371 0.849 0.354
Ac 0.795 0.456 0.937
Ac 0.795 0.937 0.456
Ac 0.995 0.110 0.110
La 0.442 0.210 0.210
La 0.858 0.314 0.314
La 0.500 0.000 0.000
La 0.142 0.686 0.686
La 0.558 0.790 0.790
Pm 0.000 0.238 0.762
Pm 0.000 0.762 0.238

=====

Crystalline TaInCo2 at its relaxed geometry. Source: the Alexandria database, functional GGA-PBE.

Computed properties:
Spin magnetization, μB/f.u.: 1.49
Total DFT energy (no corrections), eV per atom: -7.043
Formation enthalpy at 0 K, eV per atom: 0.158
N(E_F), states/eV/cell: 4.2

Cell lengths 4.428, 4.428, 5.162 Å; angles 78.54, 78.54, 39.25 degrees
Atoms (fractional coordinates):
Co 0.992 0.992 0.047
Co 0.508 0.508 0.453
In 0.750 0.750 0.750
Ta 0.250 0.250 0.250

=====

Crystalline NdYInRh at its relaxed geometry. Source: the Alexandria database, functional GGA-PBE.

Computed properties:
Spin magnetization, μB/f.u.: 0.00
Total DFT energy (no corrections), eV per atom: -5.827
Formation enthalpy at 0 K, eV per atom: -0.496
N(E_F), states/eV/cell: 3.5

Cell lengths 5.188, 5.188, 5.188 Å; angles 60.00, 60.00, 60.00 degrees
Atoms (fractional coordinates):
Y 0.750 0.750 0.750
Rh 0.000 0.000 0.000
Nd 0.250 0.250 0.250
In 0.500 0.500 0.500

=====

Crystalline La3Pm12Zn at its relaxed geometry. Source: the Alexandria database, functional GGA-PBE.

Computed properties:
Spin magnetization, μB/f.u.: 0.00
Total DFT energy (no corrections), eV per atom: -4.545
Formation enthalpy at 0 K, eV per atom: 0.021
N(E_F), states/eV/cell: 23.9

Cell lengths 5.108, 5.108, 20.536 Å; angles 90.00, 90.00, 90.00 degrees
Atoms (fractional coordinates):
La 0.000 0.000 0.243
La 0.000 0.000 0.500
La 0.000 0.000 0.757
Pm 0.500 0.500 0.000
Pm 0.500 0.500 0.240
Pm 0.500 0.500 0.500
Pm 0.500 0.500 0.760
Pm 0.500 0.000 0.115
Pm 0.500 0.000 0.372
Pm 0.500 0.000 0.628
Pm 0.500 0.000 0.885
Pm 0.000 0.500 0.115
Pm 0.000 0.500 0.372
Pm 0.000 0.500 0.628
Pm 0.000 0.500 0.885
Zn 0.000 0.000 0.000

=====

Crystalline Tl2NiAsRh at its relaxed geometry. Source: the Alexandria database, functional GGA-PBE.

Computed properties:
Spin magnetization, μB/f.u.: 1.04
Total DFT energy (no corrections), eV per atom: -3.596
Formation enthalpy at 0 K, eV per atom: 0.907
N(E_F), states/eV/cell: 7.5

Cell lengths 5.505, 4.574, 5.505 Å; angles 90.00, 90.00, 90.00 degrees
Atoms (fractional coordinates):
Ni 0.500 0.500 0.500
Tl 0.000 0.000 0.500
Tl 0.500 0.000 0.000
Rh 0.000 0.500 0.000
As 0.000 0.000 0.000

=====

Crystalline CdReRu2 at its relaxed geometry. Source: the Alexandria database, functional GGA-PBE.

Computed properties:
Spin magnetization, μB/f.u.: 0.00
Total DFT energy (no corrections), eV per atom: -7.639
Formation enthalpy at 0 K, eV per atom: 0.339
N(E_F), states/eV/cell: 5.1

Cell lengths 2.755, 2.755, 8.214 Å; angles 90.00, 90.00, 90.00 degrees
Atoms (fractional coordinates):
Cd 0.000 0.000 0.493
Re 0.500 0.500 0.774
Ru 0.000 0.000 0.006
Ru 0.500 0.500 0.227

=====

Crystalline HgTeN2O at its relaxed geometry. Source: the Alexandria database, functional GGA-PBE.

Computed properties:
Formation energy from raw total energies, eV per atom: 1.83
Spin magnetization, μB/f.u.: 0.00
Total DFT energy (no corrections), eV per atom: -3.176
N(E_F), states/eV/cell: 3.9

Cell lengths 4.243, 4.243, 4.117 Å; angles 90.00, 90.00, 90.00 degrees
Atoms (fractional coordinates):
Te 0.500 0.500 0.500
Hg 0.000 0.000 0.000
O 0.000 0.000 0.500
N 0.000 0.500 0.000
N 0.500 0.000 0.000

=====

Crystalline Tb3Dy5Bi8 at its relaxed geometry. Source: the Alexandria database, functional GGA-PBE.

Computed properties:
Spin magnetization, μB/f.u.: 0.00
Total DFT energy (no corrections), eV per atom: -5.113
Formation enthalpy at 0 K, eV per atom: -0.866
N(E_F), states/eV/cell: 3.1

Cell lengths 8.961, 8.961, 8.960 Å; angles 60.00, 60.00, 60.00 degrees
Atoms (fractional coordinates):
Tb 0.500 0.000 0.500
Tb 0.000 0.000 0.500
Tb 0.000 0.500 0.500
Dy 0.500 0.000 0.000
Dy 0.500 0.500 0.000
Dy 0.000 0.000 0.000
Dy 0.000 0.500 0.000
Dy 0.500 0.500 0.500
Bi 0.250 0.250 0.751
Bi 0.250 0.749 0.751
Bi 0.749 0.250 0.751
Bi 0.750 0.750 0.751
Bi 0.750 0.750 0.249
Bi 0.750 0.251 0.249
Bi 0.251 0.750 0.249
Bi 0.250 0.250 0.249

=====

Crystalline HoTm2Au at its relaxed geometry. Source: the Alexandria database, functional GGA-PBE.

Computed properties:
Spin magnetization, μB/f.u.: 0.00
Total DFT energy (no corrections), eV per atom: -4.662
Polymorph energy (0 for the lowest one), eV/atom: 0.000
Formation enthalpy at 0 K, eV per atom: -0.463
N(E_F), states/eV/cell: 14.7

Cell lengths 6.614, 6.877, 9.590 Å; angles 90.00, 90.00, 90.00 degrees
Atoms (fractional coordinates):
Ho 0.613 0.512 0.250
Ho 0.887 0.012 0.250
Ho 0.387 0.488 0.750
Ho 0.113 0.988 0.750
Tm 0.197 0.698 0.054
Tm 0.303 0.198 0.446
Tm 0.803 0.302 0.554
Tm 0.697 0.802 0.946
Tm 0.803 0.302 0.946
Tm 0.697 0.802 0.554
Tm 0.197 0.698 0.446
Tm 0.303 0.198 0.054
Au 0.038 0.416 0.250
Au 0.462 0.916 0.250
Au 0.962 0.584 0.750
Au 0.538 0.084 0.750

=====

Crystalline Sm8Ge3Se4Br at its relaxed geometry. Source: the Alexandria database, functional GGA-PBE.

Computed properties:
Formation energy from raw total energies, eV per atom: -1.46
Spin magnetization, μB/f.u.: 0.00
Total DFT energy (no corrections), eV per atom: -5.662
N(E_F), states/eV/cell: 4.7

Cell lengths 8.454, 8.436, 8.454 Å; angles 120.07, 120.00, 90.00 degrees
Atoms (fractional coordinates):
Sm 0.256 0.746 0.989
Sm 0.256 0.746 0.512
Sm 0.253 0.260 0.507
Sm 0.733 0.746 0.989
Sm 0.267 0.254 0.011
Sm 0.747 0.740 0.493
Sm 0.744 0.254 0.488
Sm 0.744 0.254 0.011
Ge 0.500 0.500 0.000
Ge 0.500 0.500 0.500
Ge 0.000 0.500 0.500
Se 0.500 0.000 0.000
Se 0.500 0.000 0.500
Se 0.000 0.000 0.000
Se 0.000 0.000 0.500
Br 0.000 0.500 0.000

=====

Crystalline U5Rh2S12 at its relaxed geometry. Source: the Alexandria database, functional GGA-PBE.

Computed properties:
Formation energy from raw total energies, eV per atom: -1.13
Spin magnetization, μB/f.u.: 12.05
Total DFT energy (no corrections), eV per atom: -7.484
N(E_F), states/eV/cell: 32.8

Cell lengths 6.954, 8.215, 8.341 Å; angles 104.10, 90.00, 115.04 degrees
Atoms (fractional coordinates):
U 0.301 0.602 0.649
U 0.318 0.637 0.149
U 0.000 0.000 0.500
U 0.682 0.363 0.851
U 0.699 0.398 0.351
Rh 0.747 0.000 0.000
Rh 0.253 0.000 0.000
S 0.997 0.994 0.190
S 0.080 0.664 0.908
S 0.584 0.664 0.908
S 0.102 0.704 0.428
S 0.601 0.704 0.428
S 0.495 0.990 0.787
S 0.505 0.010 0.213
S 0.898 0.296 0.572
S 0.399 0.296 0.572
S 0.920 0.336 0.092
S 0.416 0.336 0.092
S 0.003 0.006 0.810

=====

Crystalline Pa4TiO10 at its relaxed geometry. Source: the Alexandria database, functional GGA-PBE.

Computed properties:
Formation energy from raw total energies, eV per atom: -3.41
Spin magnetization, μB/f.u.: 3.59
Total DFT energy (no corrections), eV per atom: -9.774
N(E_F), states/eV/cell: 12.3

Cell lengths 3.859, 3.859, 15.225 Å; angles 82.72, 82.72, 60.00 degrees
Atoms (fractional coordinates):
Pa 0.394 0.394 0.818
Pa 0.798 0.798 0.605
Pa 0.202 0.202 0.395
Pa 0.606 0.606 0.182
Ti 0.000 0.000 0.000
O 0.953 0.953 0.141
O 0.149 0.149 0.552
O 0.552 0.552 0.344
O 0.347 0.347 0.958
O 0.746 0.746 0.761
O 0.653 0.653 0.042
O 0.851 0.851 0.448
O 0.254 0.254 0.239
O 0.047 0.047 0.859
O 0.448 0.448 0.656

=====

Crystalline GaRhClF2 at its relaxed geometry. Source: the Alexandria database, functional GGA-PBE.

Computed properties:
Formation energy from raw total energies, eV per atom: -1.04
Spin magnetization, μB/f.u.: 0.55
Total DFT energy (no corrections), eV per atom: -4.232
N(E_F), states/eV/cell: 1.2

Cell lengths 3.773, 5.372, 3.773 Å; angles 90.00, 90.00, 90.00 degrees
Atoms (fractional coordinates):
F 0.000 0.000 0.500
F 0.500 0.000 0.000
Rh 0.000 0.500 0.000
Ga 0.000 0.000 0.000
Cl 0.500 0.500 0.500

=====

Crystalline Sm3Hg2Pd4 at its relaxed geometry. Source: the Alexandria database, functional GGA-PBE.

Computed properties:
Spin magnetization, μB/f.u.: 0.00
Total DFT energy (no corrections), eV per atom: -4.611
Formation enthalpy at 0 K, eV per atom: -0.663
N(E_F), states/eV/cell: 4.2

Cell lengths 4.421, 5.434, 9.320 Å; angles 90.49, 90.00, 114.01 degrees
Atoms (fractional coordinates):
Sm 0.369 0.738 0.618
Sm 0.000 0.000 0.000
Sm 0.631 0.262 0.382
Hg 0.333 0.665 0.220
Hg 0.667 0.335 0.780
Pd 0.704 0.407 0.083
Pd 0.076 0.151 0.621
Pd 0.924 0.849 0.379
Pd 0.296 0.593 0.917

=====

Crystalline Tb2ScHg at its relaxed geometry. Source: the Alexandria database, functional GGA-PBE.

Computed properties:
Spin magnetization, μB/f.u.: 0.00
Total DFT energy (no corrections), eV per atom: -4.176
Polymorph energy (0 for the lowest one), eV/atom: 0.000
Formation enthalpy at 0 K, eV per atom: -0.203
N(E_F), states/eV/cell: 5.8

Cell lengths 3.579, 3.579, 8.537 Å; angles 90.00, 90.00, 90.00 degrees
Atoms (fractional coordinates):
Sc 0.500 0.500 0.500
Tb 0.000 0.000 0.762
Tb 0.000 0.000 0.238
Hg 0.500 0.500 0.000

=====

Crystalline Ba4AgPt at its relaxed geometry. Source: the Alexandria database, functional GGA-PBE.

Computed properties:
Spin magnetization, μB/f.u.: 0.00
Total DFT energy (no corrections), eV per atom: -3.140
Polymorph energy (0 for the lowest one), eV/atom: 0.000
Formation enthalpy at 0 K, eV per atom: -0.376
N(E_F), states/eV/cell: 11.0

Cell lengths 8.092, 8.228, 10.373 Å; angles 106.18, 105.67, 107.61 degrees
Atoms (fractional coordinates):
Ba 0.301 0.042 0.626
Ba 0.054 0.822 0.107
Ba 0.174 0.415 0.374
Ba 0.447 0.716 0.893
Ba 0.699 0.958 0.374
Ba 0.826 0.585 0.626
Ba 0.946 0.178 0.893
Ba 0.553 0.284 0.107
Ag 0.323 0.573 0.147
Ag 0.677 0.427 0.853
Pt 0.820 0.070 0.140
Pt 0.180 0.930 0.860

=====

Crystalline LiTiIn2 at its relaxed geometry. Source: the Alexandria database, functional GGA-PBE.

Computed properties:
Spin magnetization, μB/f.u.: 0.00
Total DFT energy (no corrections), eV per atom: -3.888
Polymorph energy (0 for the lowest one), eV/atom: 0.149
Formation enthalpy at 0 K, eV per atom: -0.066
N(E_F), states/eV/cell: 3.2

Cell lengths 3.129, 3.129, 9.766 Å; angles 80.73, 80.73, 59.99 degrees
Atoms (fractional coordinates):
Li 0.667 0.667 0.001
Ti 0.500 0.500 0.499
In 0.083 0.083 0.751
In 0.251 0.251 0.248

=====

Crystalline Pm3SmSc2 at its relaxed geometry. Source: the Alexandria database, functional GGA-PBE.

Computed properties:
Spin magnetization, μB/f.u.: 0.00
Total DFT energy (no corrections), eV per atom: -5.003
Polymorph energy (0 for the lowest one), eV/atom: 0.095
Formation enthalpy at 0 K, eV per atom: 0.269
N(E_F), states/eV/cell: 20.8

Cell lengths 5.500, 8.752, 8.752 Å; angles 111.52, 90.00, 90.00 degrees
Atoms (fractional coordinates):
Pm 0.993 0.892 0.372
Pm 0.493 0.628 0.108
Pm 0.993 0.372 0.892
Pm 0.493 0.108 0.628
Pm 0.493 0.904 0.904
Pm 0.993 0.096 0.096
Sm 0.993 0.729 0.729
Sm 0.493 0.271 0.271
Sc 0.493 0.695 0.486
Sc 0.993 0.514 0.305
Sc 0.493 0.486 0.695
Sc 0.993 0.305 0.514

=====

Crystalline TbDyCd at its relaxed geometry. Source: the Alexandria database, functional GGA-PBE.

Computed properties:
Spin magnetization, μB/f.u.: 0.16
Total DFT energy (no corrections), eV per atom: -3.493
Polymorph energy (0 for the lowest one), eV/atom: 0.084
Formation enthalpy at 0 K, eV per atom: -0.110
N(E_F), states/eV/cell: 8.4

Cell lengths 3.534, 3.505, 14.015 Å; angles 97.18, 90.01, 90.00 degrees
Atoms (fractional coordinates):
Tb 0.560 0.568 0.135
Tb 0.560 0.718 0.436
Dy 0.560 0.416 0.831
Dy 0.060 0.827 0.653
Cd 0.060 0.143 0.286
Cd 0.060 0.992 0.983